LiHfNp2N5 | Alexandria | PBE | optimized geometry; symmetry = No. 36; uncorrected formation energy = -984 meV per atom
1.0
3.273 0.000 0.000
-1.636 6.376 0.000
0.000 0.000 10.223
N Hf Np Li
10 2 4 2
direct
0.696 0.391 0.863
0.487 0.974 0.778
0.715 0.430 0.158
0.637 0.274 0.513
0.304 0.609 0.363
0.363 0.726 0.013
0.042 0.084 0.077
0.285 0.570 0.658
0.513 0.026 0.278
0.958 0.916 0.577
0.802 0.603 0.500
0.198 0.397 0.000
0.135 0.271 0.296
0.865 0.729 0.796
0.104 0.209 0.667
0.896 0.791 0.167
0.516 0.031 0.970
0.484 0.969 0.470


LiHfScGe2 | Alexandria | PBE | optimized geometry; symmetry = No. 123; energy of formation from the pure elements = 0.269 eV/atom
1.0
4.479 0.000 0.000
0.000 4.650 0.000
0.000 0.000 4.479
Sc Li Ge Hf
1 1 2 1
direct
0.500 0.500 0.500
0.000 0.000 0.000
0.000 0.000 0.500
0.500 0.000 0.000
0.000 0.500 0.000


YTi2Cd | Alexandria | PBE | optimized geometry; symmetry = No. 122; energy of formation from the pure elements = 0.495 eV/atom
1.0
-0.413 0.116 -7.901
-0.727 -7.879 -0.077
-3.509 -3.612 -3.832
Cd Y Ti
2 2 4
direct
0.000 0.000 0.000
0.750 0.250 0.500
0.250 0.750 0.500
0.500 0.500 0.000
0.875 0.900 0.750
0.375 0.350 0.750
0.650 0.125 0.250
0.100 0.625 0.250


ZrTiSn3 | Alexandria | PBE | optimized geometry; symmetry = No. 221; energy of formation from the pure elements = 0.500 eV/atom; ΔE to the lowest computed polymorph = 0.000 eV/f.u.
1.0
5.160 0.000 0.000
0.000 5.160 0.000
0.000 0.000 5.160
Sn Zr Ti
3 1 1
direct
0.000 0.000 0.500
0.000 0.500 0.000
0.500 0.000 0.000
0.500 0.500 0.500
0.000 0.000 0.000


CeNdCd4 | Alexandria | PBE | optimized geometry; symmetry = No. 63; energy of formation from the pure elements = -0.295 eV/atom; ΔE to the lowest computed polymorph = 0.027 eV/f.u.
1.0
5.126 -0.002 0.001
0.001 6.288 2.279
-0.001 0.125 9.468
Ce Cd Nd
2 8 2
direct
0.750 0.625 0.249
0.250 0.375 0.751
0.750 0.703 0.583
0.750 0.214 0.583
0.250 0.956 0.083
0.250 0.297 0.417
0.250 0.786 0.417
0.250 0.461 0.083
0.750 0.044 0.917
0.750 0.539 0.917
0.250 0.875 0.749
0.750 0.125 0.251


Pt2Se | Alexandria | PBE | optimized geometry; symmetry = No. 12; uncorrected formation energy = -48 meV per atom; ΔE to the lowest computed polymorph = 0.092 eV/f.u.
1.0
-2.795 0.300 5.364
-1.178 -2.893 5.188
3.670 1.654 3.730
Se Pt
2 4
direct
0.683 0.683 0.327
0.317 0.317 0.673
0.946 0.946 0.767
0.611 0.611 0.801
0.054 0.054 0.233
0.389 0.389 0.199


no.,magnetization (Bohr magnetons per cell)
1,7.96
2,0.00
3,4.70
4,0.00
5,2.50
6,0.00